This record from Alexandria describes a relaxed Ho2ErN crystal. The functional is GGA-PBE.

abc: 3.4339 3.4339 28.0096
angles: 90.00 90.00 120.00
Space group R-3m (No. 166, hexagonal axes)
Asymmetric unit:
Ho1 0.0000 0.0000 0.1195 (multiplicity 6)
Er1 0.0000 0.0000 0.0000 (multiplicity 3)
N1 0.0000 0.0000 0.5000 (multiplicity 3)

* ΔE_f (raw): -678 meV/atom
* total moment: 3.02 μB/cell